{
  "formula": "Li2V3FeO6",
  "functional": "PBE+U",
  "state": "optimized geometry",
  "cell": [[-0.457, -4.955, -1.755], [4.417, 2.760, -0.840], [0.536, -0.949, 5.148]],
  "species": ["Li", "Li", "V", "V", "V", "Fe", "O", "O", "O", "O", "O", "O"],
  "fractional_positions": [[0.336, 0.664, 0.000], [0.664, 0.336, 0.000], [0.169, 0.831, 0.500], [0.831, 0.169, 0.500], [0.500, 0.500, 0.500], [0.000, 0.000, 0.000], [0.907, 0.584, 0.738], [0.752, 0.752, 0.270], [0.093, 0.416, 0.262], [0.584, 0.907, 0.738], [0.248, 0.248, 0.730], [0.416, 0.093, 0.262]],
  "total_energy_ev_per_fu": -84.09
}